Compound: LaTi3Cl
Source: the Alexandria database
Functional: GGA-PBEsol
Structure: relaxed

## Properties
The calculated volume is 99 Å³ per cell. Its spin magnetization is 0.022 μB/f.u. As for the uncorrected formation energy: 0.0054 eV/atom.

Unit cell a=4.6226 b=4.6226 c=4.6226 alpha=90.00 beta=90.00 gamma=90.00
Atoms (fractional coordinates):
1 Cl 0.0000 0.0000 0.0000
2 Ti 0.0000 0.5000 0.0000
3 Ti 0.0000 0.0000 0.5000
4 Ti 0.5000 0.0000 0.0000
5 La 0.5000 0.5000 0.5000